Arrangement a

Crystalline LiTlCuOs at its relaxed geometry, computed with PBE-GGA.

Cell and atoms, written as POSCAR:
```
LiTlCuOs
1.0
0.000 3.162 3.162
3.162 0.000 3.162
3.162 3.162 0.000
Os Li Cu Tl
1 1 1 1
Direct
0.250 0.250 0.250
0.500 0.500 0.500
0.750 0.750 0.750
0.000 0.000 0.000
```

Results
Space-group type: No. 216
Total magnetic moment: 0.00 μB/f.u.


Arrangement b

Crystalline LiTlCuOs at its relaxed geometry, computed with PBE-GGA.

Cell and atoms, written as POSCAR:
```
LiTlCuOs
1.0
-1.703 -3.652 -1.691
-3.458 -1.881 1.898
-3.902 0.114 -1.964
Tl Li Cu Os
1 1 1 1
Direct
0.000 0.000 0.000
0.250 0.250 0.250
0.750 0.750 0.750
0.500 0.500 0.500
```

Results
Space-group type: No. 216
Total magnetic moment: 0.00 μB/f.u.


So which one is most stable? That would be arrangement b, about 0.055 eV/atom below the next structure.


Arrangement a

Crystalline LiPaCu at its relaxed geometry, computed with PBE-GGA.

Cell and atoms, written as POSCAR:
```
LiPaCu
1.0
0.000 3.147 3.147
3.147 0.000 3.147
3.147 3.147 0.000
Cu Pa Li
1 1 1
Direct
0.000 0.000 0.000
0.750 0.750 0.750
0.250 0.250 0.250
```

Results
Space-group type: No. 216
Total magnetic moment: 0.01 μB/f.u.


Arrangement b

Crystalline LiPaCu at its relaxed geometry, computed with PBE-GGA.

Cell and atoms, written as POSCAR:
```
LiPaCu
1.0
0.000 3.173 3.173
3.173 0.000 3.173
3.173 3.173 0.000
Pa Li Cu
1 1 1
Direct
0.000 0.000 0.000
0.750 0.750 0.750
0.250 0.250 0.250
```

Results
Space-group type: No. 216
Total magnetic moment: 0.67 μB/f.u.


So which one is most stable? That would be arrangement a, about 0.515 eV/atom below the next structure.


Arrangement a

Crystalline LiCuPdPb at its relaxed geometry, computed with PBE-GGA.

Cell and atoms, written as POSCAR:
```
LiCuPdPb
1.0
-1.592 -1.546 3.973
-3.023 2.457 2.351
-4.314 -1.410 0.329
Pd Cu Li Pb
1 1 1 1
Direct
0.250 0.250 0.250
0.750 0.750 0.750
0.500 0.500 0.500
0.000 0.000 0.000
```

Results
Space-group type: No. 216


Arrangement b

Crystalline LiCuPdPb at its relaxed geometry, computed with PBE-GGA.

Cell and atoms, written as POSCAR:
```
LiCuPdPb
1.0
0.528 -3.594 2.667
-2.908 -3.434 -0.244
1.306 -3.938 -1.759
Cu Pd Li Pb
1 1 1 1
Direct
0.750 0.750 0.750
0.500 0.500 0.500
0.250 0.250 0.250
0.000 0.000 0.000
```

Results
Space-group type: No. 216


So which one is most stable? That would be arrangement b, about 0.008 eV/atom below the next structure.


Arrangement a

Crystalline LiTaCuPb at its relaxed geometry, computed with PBE-GGA.

Cell and atoms, written as POSCAR:
```
LiTaCuPb
1.0
0.000 3.236 3.236
3.236 0.000 3.236
3.236 3.236 0.000
Li Cu Pb Ta
1 1 1 1
Direct
0.250 0.250 0.250
0.750 0.750 0.750
0.000 0.000 0.000
0.500 0.500 0.500
```

Results
Space-group type: No. 216
Total magnetic moment: 1.05 μB/f.u.


Arrangement b

Crystalline LiTaCuPb at its relaxed geometry, computed with PBE-GGA.

Cell and atoms, written as POSCAR:
```
LiTaCuPb
1.0
-2.663 -3.466 -1.606
-1.417 -3.374 2.880
-4.478 -0.267 1.249
Cu Pb Li Ta
1 1 1 1
Direct
0.750 0.750 0.750
0.000 0.000 0.000
0.500 0.500 0.500
0.250 0.250 0.250
```

Results
Space-group type: No. 216
Total magnetic moment: 1.05 μB/f.u.


So which one is most stable? That would be arrangement a, about 0.101 eV/atom below the next structure.


Arrangement a

Crystalline LiCuPbW at its relaxed geometry, computed with PBE-GGA.

Cell and atoms, written as POSCAR:
```
LiCuPbW
1.0
-3.961 2.083 0.683
-2.101 2.053 -3.444
-3.807 -1.761 -1.703
Li W Cu Pb
1 1 1 1
Direct
0.250 0.250 0.250
0.500 0.500 0.500
0.750 0.750 0.750
0.000 0.000 0.000
```

Results
Space-group type: No. 216
Total magnetic moment: 2.39 μB/f.u.


Arrangement b

Crystalline LiCuPbW at its relaxed geometry, computed with PBE-GGA.

Cell and atoms, written as POSCAR:
```
LiCuPbW
1.0
-1.523 -1.219 4.211
-3.571 2.259 1.919
-4.106 -2.115 0.460
Pb W Li Cu
1 1 1 1
Direct
0.000 0.000 0.000
0.250 0.250 0.250
0.500 0.500 0.500
0.750 0.750 0.750
```

Results
Space-group type: No. 216
Total magnetic moment: 2.02 μB/f.u.


So which one is most stable? That would be arrangement a, about 0.072 eV/atom below the next structure.


Arrangement a

Crystalline LiZnCuPb at its relaxed geometry, computed with PBE-GGA.

Cell and atoms, written as POSCAR:
```
LiZnCuPb
1.0
-1.091 -4.398 0.512
-1.100 -1.611 4.122
-4.308 -1.189 0.908
Zn Li Pb Cu
1 1 1 1
Direct
0.750 0.750 0.750
0.500 0.500 0.500
0.250 0.250 0.250
0.000 0.000 0.000
```

Results
Space-group type: No. 216


Arrangement b

Crystalline LiZnCuPb at its relaxed geometry, computed with PBE-GGA.

Cell and atoms, written as POSCAR:
```
LiZnCuPb
1.0
0.000 3.247 3.247
3.247 0.000 3.247
3.247 3.247 0.000
Zn Li Cu Pb
1 1 1 1
Direct
0.750 0.750 0.750
0.250 0.250 0.250
0.500 0.500 0.500
0.000 0.000 0.000
```

Results
Space-group type: No. 216


So which one is most stable? That would be arrangement a, about 0.060 eV/atom below the next structure.


Arrangement a

Crystalline LiPmCu at its relaxed geometry, computed with PBE-GGA.

Cell and atoms, written as POSCAR:
```
LiPmCu
1.0
0.000 3.273 3.273
3.273 0.000 3.273
3.273 3.273 0.000
Li Cu Pm
1 1 1
Direct
0.250 0.250 0.250
0.000 0.000 0.000
0.750 0.750 0.750
```

Results
Space-group type: No. 216
Total magnetic moment: 0.00 μB/f.u.


Arrangement b

Crystalline LiPmCu at its relaxed geometry, computed with PBE-GGA.

Cell and atoms, written as POSCAR:
```
LiPmCu
1.0
0.000 3.305 3.305
3.305 0.000 3.305
3.305 3.305 0.000
Li Pm Cu
1 1 1
Direct
0.250 0.250 0.250
0.500 0.500 0.500
0.750 0.750 0.750
```

Results
Space-group type: No. 216
Total magnetic moment: 0.14 μB/f.u.


So which one is most stable? That would be arrangement a, about 0.415 eV/atom below the next structure.


Arrangement a

Crystalline LiPuCu at its relaxed geometry, computed with PBE-GGA.

Cell and atoms, written as POSCAR:
```
LiPuCu
1.0
0.800 -1.180 4.197
-1.835 2.277 3.331
-3.214 -1.839 2.436
Pu Li Cu
1 1 1
Direct
0.750 0.750 0.750
0.000 0.000 0.000
0.500 0.500 0.500
```

Results
Space-group type: No. 216
Total magnetic moment: 6.54 μB/f.u.


Arrangement b

Crystalline LiPuCu at its relaxed geometry, computed with PBE-GGA.

Cell and atoms, written as POSCAR:
```
LiPuCu
1.0
0.000 3.216 3.216
3.216 0.000 3.216
3.216 3.216 0.000
Pu Cu Li
1 1 1
Direct
0.750 0.750 0.750
0.000 0.000 0.000
0.250 0.250 0.250
```

Results
Space-group type: No. 216
Total magnetic moment: 6.12 μB/f.u.


So which one is most stable? That would be arrangement b, about 0.452 eV/atom below the next structure.


Arrangement a

Crystalline RbLiCu at its relaxed geometry, computed with PBE-GGA.

Cell and atoms, written as POSCAR:
```
RbLiCu
1.0
0.000 3.556 3.556
3.556 0.000 3.556
3.556 3.556 0.000
Li Cu Rb
1 1 1
Direct
0.000 0.000 0.000
0.250 0.250 0.250
0.750 0.750 0.750
```

Results
Space-group type: No. 216


Arrangement b

Crystalline RbLiCu at its relaxed geometry, computed with PBE-GGA.

Cell and atoms, written as POSCAR:
```
RbLiCu
1.0
-1.183 -2.008 4.790
0.825 2.909 4.386
-4.145 1.918 2.743
Cu Rb Li
1 1 1
Direct
0.000 0.000 0.000
0.750 0.750 0.750
0.250 0.250 0.250
```

Results
Space-group type: No. 216


So which one is most stable? That would be arrangement b, about 0.045 eV/atom below the next structure.


Arrangement a

Crystalline LiCuReSn at its relaxed geometry, computed with PBE-GGA.

Cell and atoms, written as POSCAR:
```
LiCuReSn
1.0
0.000 3.083 3.083
3.083 0.000 3.083
3.083 3.083 0.000
Li Sn Cu Re
1 1 1 1
Direct
0.250 0.250 0.250
0.000 0.000 0.000
0.750 0.750 0.750
0.500 0.500 0.500
```

Results
Space-group type: No. 216
Total magnetic moment: 0.86 μB/f.u.


Arrangement b

Crystalline LiCuReSn at its relaxed geometry, computed with PBE-GGA.

Cell and atoms, written as POSCAR:
```
LiCuReSn
1.0
0.000 3.126 3.126
3.126 0.000 3.126
3.126 3.126 0.000
Cu Sn Li Re
1 1 1 1
Direct
0.750 0.750 0.750
0.000 0.000 0.000
0.500 0.500 0.500
0.250 0.250 0.250
```

Results
Space-group type: No. 216
Total magnetic moment: 0.03 μB/f.u.


So which one is most stable? That would be arrangement b, about 0.109 eV/atom below the next structure.


Arrangement a

Crystalline LiCuSnS3 at its relaxed geometry, computed with PBE-GGA.

Cell and atoms, written as POSCAR:
```
LiCuSnS3
1.0
7.341 0.000 0.000
0.000 3.722 0.000
-1.411 0.000 8.465
Li Sn S Cu
2 2 6 2
Direct
0.784 0.250 0.346
0.216 0.750 0.654
0.818 0.750 0.848
0.182 0.250 0.152
0.244 0.250 0.460
0.756 0.750 0.540
0.920 0.750 0.156
0.417 0.750 0.141
0.080 0.250 0.844
0.583 0.250 0.859
0.544 0.250 0.592
0.456 0.750 0.408
```

Results
Space-group type: No. 11


Arrangement b

Crystalline LiCuSnS3 at its relaxed geometry, computed with PBE-GGA.

Cell and atoms, written as POSCAR:
```
LiCuSnS3
1.0
-1.212 4.456 -4.149
-4.247 2.346 -3.874
-3.536 6.069 7.551
Li Sn S Cu
2 2 6 2
Direct
0.281 0.281 0.750
0.719 0.719 0.250
0.000 0.000 0.500
0.000 0.000 0.000
0.356 0.356 0.054
0.076 0.076 0.250
0.644 0.644 0.946
0.924 0.924 0.750
0.356 0.356 0.446
0.644 0.644 0.554
0.560 0.560 0.750
0.440 0.440 0.250
```

Results
Space-group type: No. 63


So which one is most stable? That would be arrangement a, about 0.054 eV/atom below the next structure.


Arrangement a

Crystalline LiZrCu3S4 at its relaxed geometry, computed with PBE-GGA.

Cell and atoms, written as POSCAR:
```
LiZrCu3S4
1.0
-0.796 -2.187 5.284
-6.107 -3.460 -2.353
5.098 -6.179 -4.147
S Cu Li Zr
8 6 2 2
Direct
0.989 0.750 0.054
0.556 0.994 0.217
0.444 0.494 0.783
0.011 0.250 0.946
0.135 0.250 0.430
0.865 0.750 0.570
0.556 0.506 0.217
0.444 0.006 0.783
0.789 0.250 0.264
0.734 0.440 0.016
0.266 0.940 0.984
0.211 0.750 0.736
0.734 0.060 0.016
0.266 0.560 0.984
0.853 0.750 0.305
0.147 0.250 0.695
0.284 0.250 0.206
0.716 0.750 0.794
```

Results
Space-group type: No. 11
Total magnetic moment: 0.00 μB/f.u.


Arrangement b

Crystalline LiZrCu3S4 at its relaxed geometry, computed with PBE-GGA.

Cell and atoms, written as POSCAR:
```
LiZrCu3S4
1.0
5.601 0.000 0.000
0.000 5.601 0.000
0.000 0.000 5.601
S Cu Zr Li
4 3 1 1
Direct
0.252 0.252 0.252
0.748 0.252 0.748
0.252 0.748 0.748
0.748 0.748 0.252
0.000 0.500 0.500
0.500 0.500 0.000
0.500 0.000 0.500
0.500 0.500 0.500
0.000 0.000 0.000
```

Results
Space-group type: No. 215
Total magnetic moment: 0.00 μB/f.u.


So which one is most stable? That would be arrangement b, about 0.054 eV/atom below the next structure.